An optimized crystal structure of VTeN2O, computed with PBE+U.

The structure in CIF format:
```
data_VTeN2O
_chemical_formula_sum 'V1 Te1 N2 O1'
_space_group_name_H-M_alt 'P 4/m m m'
_space_group_IT_number 123
_space_group_name_Hall '-P 4 2'
_cell_length_a 3.9929
_cell_length_b 3.9929
_cell_length_c 4.0752
_cell_angle_alpha 90.00
_cell_angle_beta 90.00
_cell_angle_gamma 90.00
loop_
_atom_site_label
_atom_site_fract_x
_atom_site_fract_y
_atom_site_fract_z
V1 0.0000 0.0000 0.0000
Te1 0.5000 0.5000 0.0000
N1 0.0000 0.5000 0.5000
O1 0.5000 0.5000 0.5000
```

Output
Its magnetic moment is 0.18 μB/f.u. The calculation puts the energy at -0.16550 hartree per atom.